No. 1
A geometry-optimized ScPdAu structure. Source: Alexandria via LeMat-Bulk, functional PBE.

Cell lengths 6.0564, 6.0551, 6.0551 Å; angles 33.15, 33.21, 33.21 degrees
With the nearest neighbours (Å) after each atom.
Atoms (fractional coordinates):
Au  0.6714  0.3363  0.3363  3 Sc 2.80, 3 Pd 2.81
Sc  0.8907  0.5550  0.5550  3 Pd 2.67, 3 Au 2.80
Pd  0.1212  0.7845  0.7845  3 Sc 2.67, 3 Au 2.81

Calculated values
The relative energy among the computed polymorphs is 0.311 eV per atom. The value obtained for the total moment is 0.0 μB per cell. As for the formation energy from the elements: -0.52 eV/atom.

No. 2
A geometry-optimized Sc6Pd5Au structure. Source: Alexandria via LeMat-Bulk, functional PBE.

Cell lengths 4.7069, 6.6737, 7.4278 Å; angles 90.00, 71.59, 90.00 degrees
With the nearest neighbours (Å) after each atom.
Atoms (fractional coordinates):
Sc  0.1679  0.2520  0.6641  7 Pd 2.85-2.89, 1 Au 2.90
Sc  0.8321  0.7480  0.3359  7 Pd 2.85-2.89, 1 Au 2.90
Sc  0.1679  0.7480  0.6641  7 Pd 2.85-2.89, 1 Au 2.90
Sc  0.8321  0.2520  0.3359  7 Pd 2.85-2.89, 1 Au 2.90
Sc  0.5000  0.7464  0.0000  6 Pd 2.85-2.92, 2 Au 2.90
Sc  0.5000  0.2536  0.0000  6 Pd 2.85-2.92, 2 Au 2.90
Pd  0.3348  0.5000  0.3304  8 Sc 2.85-2.88
Pd  0.6687  0.0000  0.6620  8 Sc 2.85-2.92
Pd  0.6652  0.5000  0.6696  8 Sc 2.85-2.88
Pd  0.0000  0.5000  0.0000  8 Sc 2.87-2.89
Pd  0.3313  0.0000  0.3380  8 Sc 2.85-2.92
Au  0.0000  0.0000  0.0000  8 Sc 2.90

Calculated values
The value obtained for the total moment is 0.0 μB per cell. As for the formation energy from the elements: -0.87 eV/atom.

No. 3
A geometry-optimized ScPdAu structure. Source: Alexandria via LeMat-Bulk, functional PBE.

Cell lengths 6.8988, 6.8988, 9.1706 Å; angles 127.35, 127.35, 52.21 degrees
With the nearest neighbours (Å) after each atom.
Atoms (fractional coordinates):
Pd  0.3966  0.3966  0.7933  4 Sc 2.61-2.73, 2 Au 2.77, 1 Pd 2.80
Pd  0.6466  0.1466  0.2933  4 Sc 2.61-2.73, 2 Au 2.77, 1 Pd 2.80
Pd  0.6034  0.6034  0.2067  4 Sc 2.61-2.73, 2 Au 2.77, 1 Pd 2.80
Pd  0.8534  0.3534  0.7067  4 Sc 2.61-2.73, 2 Au 2.77, 1 Pd 2.80
Au  0.1250  0.8750  0.2500  2 Pd 2.77, 4 Sc 2.95
Au  0.6250  0.8750  0.7500  2 Pd 2.77, 4 Sc 2.95
Au  0.1250  0.8750  0.7500  2 Pd 2.77, 4 Sc 2.95
Au  0.1250  0.3750  0.2500  2 Pd 2.77, 4 Sc 2.95
Sc  0.3107  0.3107  0.0000  4 Pd 2.61-2.73
Sc  0.5607  0.0607  0.5000  4 Pd 2.61-2.73
Sc  0.6893  0.6893  0.0000  4 Pd 2.61-2.73
Sc  0.9393  0.4393  0.5000  4 Pd 2.61-2.73

Calculated values
The relative energy among the computed polymorphs is 0.392 eV per atom. The value obtained for the total moment is 0.0 μB per cell. As for the formation energy from the elements: -0.44 eV/atom.

No. 4
A geometry-optimized Sc2Pd5Au2 structure. Source: Alexandria via LeMat-Bulk, functional PBE.

Cell lengths 4.5820, 7.9167, 9.6301 Å; angles 114.27, 103.76, 90.00 degrees
With the nearest neighbours (Å) after each atom.
Atoms (fractional coordinates):
Pd  0.5820  0.7863  0.1643  3 Sc 2.65-2.66, 1 Pd 2.79, 1 Au 2.84
Pd  0.8331  0.7039  0.6662  7 Pd 2.82-3.01, 4 Au 2.83-3.00, 3 Sc 2.89-2.90
Pd  0.1669  0.0377  0.3338  7 Pd 2.82-3.01, 4 Au 2.83-3.00, 3 Sc 2.89-2.90
Pd  0.3331  0.2039  0.6662  7 Pd 2.82-3.01, 4 Au 2.83-3.00, 3 Sc 2.89-2.90
Pd  0.7497  0.2870  0.5000  2 Sc 2.59, 3 Au 2.64
Pd  0.9177  0.1220  0.8357  3 Sc 2.65-2.66, 1 Pd 2.79, 1 Au 2.84
Pd  0.2503  0.7870  0.5000  2 Sc 2.59, 3 Au 2.64
Pd  0.0823  0.2863  0.1643  3 Sc 2.65-2.66, 1 Pd 2.79, 1 Au 2.84
Pd  0.6669  0.5377  0.3338  7 Pd 2.82-3.01, 4 Au 2.83-3.00, 3 Sc 2.89-2.90
Pd  0.4180  0.6220  0.8357  3 Sc 2.65-2.66, 1 Pd 2.79, 1 Au 2.84
Sc  0.4026  0.9403  0.8056  7 Pd 2.59-2.90
Sc  0.0970  0.6348  0.1944  7 Pd 2.59-2.90
Sc  0.5974  0.1348  0.1944  7 Pd 2.59-2.90
Sc  0.9030  0.4403  0.8056  7 Pd 2.59-2.90
Au  0.5000  0.3704  0.0000  8 Pd 2.83-2.99, 6 Sc 3.11-3.12
Au  0.2498  0.4537  0.5000  5 Pd 2.64-2.84
Au  0.0000  0.8704  0.0000  8 Pd 2.83-2.99, 6 Sc 3.11-3.12
Au  0.7502  0.9537  0.5000  5 Pd 2.64-2.84

Calculated values
The value obtained for the total moment is 0.0 μB per cell. As for the formation energy from the elements: -0.58 eV/atom.

No. 5
A geometry-optimized Sc2PdAu2 structure. Source: Alexandria via LeMat-Bulk, functional PBE.

Cell lengths 5.2014, 5.2014, 5.4360 Å; angles 61.42, 61.42, 90.00 degrees
With the nearest neighbours (Å) after each atom.
Atoms (fractional coordinates):
Au  0.3423  0.3423  0.3154  1 Au 2.53, 4 Sc 2.70, 1 Pd 2.74
Au  0.6577  0.6577  0.6846  1 Au 2.53, 4 Sc 2.70, 1 Pd 2.74
Sc  0.7500  0.2500  0.5000  4 Au 2.70
Sc  0.2500  0.7500  0.5000  4 Au 2.70
Pd  0.0000  0.0000  0.0000  2 Au 2.74

Calculated values
The relative energy among the computed polymorphs is 0.313 eV per atom. The value obtained for the total moment is 0.0 μB per cell. As for the formation energy from the elements: -0.40 eV/atom.

No. 6
A geometry-optimized ScPd2Au2 structure. Source: Alexandria via LeMat-Bulk, functional PBE.

Cell lengths 3.7751, 3.7751, 7.1661 Å; angles 74.73, 74.73, 90.00 degrees
With the nearest neighbours (Å) after each atom.
Atoms (fractional coordinates):
Au  0.4002  0.4002  0.1997  1 Au 2.66, 4 Pd 2.75
Au  0.5998  0.5998  0.8003  1 Au 2.66, 4 Pd 2.75
Sc  0.0000  0.0000  0.0000  8 Au 2.98
Pd  0.2500  0.7500  0.5000  4 Pd 2.67, 4 Au 2.75
Pd  0.7500  0.2500  0.5000  4 Pd 2.67, 4 Au 2.75

Calculated values
The relative energy among the computed polymorphs is 0.286 eV per atom. The value obtained for the total moment is 0.0 μB per cell. As for the formation energy from the elements: -0.33 eV/atom.